1.
Compound: Ac5PmCo3
Source: Alexandria via LeMat-Bulk
Functional: PBE-GGA
Structure: optimized geometry

* energy of formation from the pure elements: -27 meV/atom
* DOS at the Fermi energy: 12.598 states/eV per cell
* space-group type: C2/m, No. 12

Cell lengths 8.044, 8.044, 10.418 Å; angles 108.81, 108.81, 74.69 degrees
Atoms (fractional coordinates):
Ac 0.064 0.064 0.365
Ac 0.134 0.531 0.336
Ac 0.203 0.797 0.000
Ac 0.268 0.268 0.965
Ac 0.469 0.866 0.664
Ac 0.531 0.134 0.336
Ac 0.732 0.732 0.035
Ac 0.797 0.203 0.000
Ac 0.866 0.469 0.664
Ac 0.936 0.936 0.635
Pm 0.402 0.402 0.702
Pm 0.598 0.598 0.298
Co 0.165 0.165 0.165
Co 0.172 0.172 0.663
Co 0.500 0.500 0.000
Co 0.500 0.500 0.500
Co 0.828 0.828 0.337
Co 0.835 0.835 0.835


2.
Compound: SiO
Source: Alexandria via LeMat-Bulk
Functional: PBE-GGA
Structure: optimized geometry

* space-group type: Pm-3n, No. 223
* ΔE_f (raw): -0.2678 eV per atom

Cell lengths 6.058, 6.058, 6.058 Å; angles 90.00, 90.00, 90.00 degrees
Atoms (fractional coordinates):
Si 0.000 0.250 0.500
Si 0.000 0.750 0.500
Si 0.250 0.500 0.000
Si 0.500 0.000 0.250
Si 0.500 0.000 0.750
Si 0.750 0.500 0.000
O 0.000 0.500 0.250
O 0.000 0.500 0.750
O 0.250 0.000 0.500
O 0.500 0.250 0.000
O 0.500 0.750 0.000
O 0.750 0.000 0.500


3.
Compound: SrPd2O2
Source: Alexandria via LeMat-Bulk
Functional: PBE-GGA
Structure: optimized geometry

* DOS at the Fermi energy: 8.199 states/eV per cell
* space-group type: P4/mbm, No. 127
* ΔE_f (raw): -0.9307 eV per atom

Cell lengths 6.754, 6.754, 3.936 Å; angles 90.00, 90.00, 90.00 degrees
Atoms (fractional coordinates):
Sr 0.000 0.000 0.000
Sr 0.500 0.500 0.000
Pd 0.134 0.366 0.500
Pd 0.366 0.866 0.500
Pd 0.634 0.134 0.500
Pd 0.866 0.634 0.500
O 0.171 0.329 0.000
O 0.329 0.829 0.000
O 0.671 0.171 0.000
O 0.829 0.671 0.000


4.
Compound: Mn2TcSe
Source: Alexandria via LeMat-Bulk
Functional: PBE-GGA
Structure: optimized geometry

* DOS at the Fermi energy: 12.766 states/eV per cell
* space-group type: I-42d, No. 122
* ΔE_f (raw): 0.7409 eV per atom

Cell lengths 5.318, 5.318, 10.390 Å; angles 90.00, 90.00, 90.00 degrees
Atoms (fractional coordinates):
Mn 0.246 0.250 0.125
Mn 0.250 0.746 0.375
Mn 0.250 0.754 0.875
Mn 0.254 0.250 0.625
Mn 0.746 0.750 0.625
Mn 0.750 0.246 0.875
Mn 0.750 0.254 0.375
Mn 0.754 0.750 0.125
Tc 0.000 0.000 0.000
Tc 0.000 0.500 0.250
Tc 0.500 0.000 0.750
Tc 0.500 0.500 0.500
Se 0.000 0.000 0.500
Se 0.000 0.500 0.750
Se 0.500 0.000 0.250
Se 0.500 0.500 0.000


5.
Compound: DyCuAg
Source: Alexandria via LeMat-Bulk
Functional: PBE-GGA
Structure: optimized geometry

* energy of formation from the pure elements: -108 meV/atom
* DOS at the Fermi energy: 9.946 states/eV per cell
* space-group type: Ima2, No. 46

Cell lengths 8.445, 8.445, 8.445 Å; angles 126.43, 78.13, 127.72 degrees
Atoms (fractional coordinates):
Dy 0.197 0.023 0.220
Dy 0.197 0.477 0.674
Dy 0.334 0.660 0.174
Dy 0.486 0.160 0.826
Dy 0.803 0.523 0.326
Dy 0.803 0.977 0.780
Cu 0.168 0.168 0.000
Cu 0.168 0.668 0.500
Cu 0.548 0.213 0.478
Cu 0.548 0.570 0.835
Cu 0.735 0.070 0.522
Cu 0.735 0.713 0.165
Ag 0.180 0.069 0.611
Ag 0.458 0.569 0.389
Ag 0.523 0.975 0.047
Ag 0.897 0.153 0.244
Ag 0.909 0.653 0.756
Ag 0.928 0.475 0.953


6.
Compound: Ac2TiP3Pt4
Source: Alexandria via LeMat-Bulk
Functional: PBE-GGA
Structure: optimized geometry

* energy of formation from the pure elements: -945 meV/atom
* DOS at the Fermi energy: 5.175 states/eV per cell
* space-group type: P-4m2, No. 115

Cell lengths 4.323, 4.323, 10.367 Å; angles 90.00, 90.00, 90.00 degrees
Atoms (fractional coordinates):
Ac 0.000 0.500 0.240
Ac 0.500 0.000 0.760
Ti 0.000 0.000 0.500
P 0.000 0.500 0.870
P 0.500 0.000 0.130
P 0.500 0.500 0.500
Pt 0.000 0.000 0.000
Pt 0.000 0.500 0.630
Pt 0.500 0.000 0.370
Pt 0.500 0.500 0.000


7.
Compound: VCoTc2
Source: Alexandria via LeMat-Bulk
Functional: PBE-GGA
Structure: optimized geometry

* energy of formation from the pure elements: 6 meV/atom
* DOS at the Fermi energy: 5.183 states/eV per cell
* space-group type: P4/mmm, No. 123

Cell lengths 3.020, 3.020, 5.877 Å; angles 90.00, 90.00, 90.00 degrees
Atoms (fractional coordinates):
V 0.000 0.000 0.000
Co 0.000 0.000 0.500
Tc 0.500 0.500 0.247
Tc 0.500 0.500 0.753


8.
Compound: TmMnS3
Source: Alexandria via LeMat-Bulk
Functional: PBE-GGA
Structure: optimized geometry

* DOS at the Fermi energy: 2.581 states/eV per cell
* space-group type: Pnma, No. 62
* ΔE_f (raw): -1.2202 eV per atom

Cell lengths 7.723, 3.571, 13.458 Å; angles 90.00, 90.00, 90.00 degrees
Atoms (fractional coordinates):
Tm 0.157 0.250 0.194
Tm 0.343 0.750 0.694
Tm 0.657 0.250 0.306
Tm 0.843 0.750 0.806
Mn 0.183 0.750 0.455
Mn 0.317 0.250 0.955
Mn 0.683 0.750 0.045
Mn 0.817 0.250 0.545
S 0.022 0.250 0.386
S 0.135 0.250 0.796
S 0.166 0.750 0.038
S 0.334 0.250 0.538
S 0.365 0.750 0.296
S 0.478 0.750 0.886
S 0.522 0.250 0.114
S 0.635 0.250 0.704
S 0.666 0.750 0.462
S 0.834 0.250 0.962
S 0.865 0.750 0.204
S 0.978 0.750 0.614


9.
Compound: SrDyIr
Source: Alexandria via LeMat-Bulk
Functional: PBE-GGA
Structure: optimized geometry

* energy of formation from the pure elements: -349 meV/atom
* DOS at the Fermi energy: 3.109 states/eV per cell
* space-group type: F-43m, No. 216

Cell lengths 6.992, 6.992, 6.992 Å; angles 90.00, 90.00, 90.00 degrees
Atoms (fractional coordinates):
Sr 0.000 0.000 0.000
Sr 0.000 0.500 0.500
Sr 0.500 0.000 0.500
Sr 0.500 0.500 0.000
Dy 0.000 0.000 0.500
Dy 0.000 0.500 0.000
Dy 0.500 0.000 0.000
Dy 0.500 0.500 0.500
Ir 0.250 0.250 0.750
Ir 0.250 0.750 0.250
Ir 0.750 0.250 0.250
Ir 0.750 0.750 0.750


10.
Compound: YInCl2
Source: Alexandria via LeMat-Bulk
Functional: PBE-GGA
Structure: optimized geometry

* DOS at the Fermi energy: 4.630 states/eV per cell
* space-group type: I4/mmm, No. 139
* ΔE_f (raw): -0.9139 eV per atom

Cell lengths 4.635, 4.635, 8.980 Å; angles 90.00, 90.00, 90.00 degrees
Atoms (fractional coordinates):
Y 0.000 0.000 0.000
Y 0.500 0.500 0.500
In 0.000 0.000 0.500
In 0.500 0.500 0.000
Cl 0.000 0.500 0.250
Cl 0.000 0.500 0.750
Cl 0.500 0.000 0.250
Cl 0.500 0.000 0.750


Q: Number 10 is which compound?
A: YInCl2


Q: Which formula does entry 3 have?
A: SrPd2O2


Q: What is the formula in the third record?
A: SrPd2O2